A geometry-optimized LaNb2Tl structure. Source: the Open Quantum Materials Database, functional PBE-GGA.

abc: 5.076 5.076 5.076
angles: 60.00 60.00 60.00
Sites, in units of the cell vectors:
Tl 0.500 0.500 0.500
Nb 0.000 0.000 0.000
Nb 0.750 0.750 0.750
La 0.250 0.250 0.250

Properties
symmetry: F-43m, No. 216
electronic total energy: -6.461 eV per atom

A geometry-optimized TbPuNp structure. Source: the Open Quantum Materials Database, functional PBE-GGA.

abc: 4.947 4.947 4.947
angles: 60.00 60.00 60.00
Sites, in units of the cell vectors:
Np 0.000 0.000 0.000
Pu 0.750 0.750 0.750
Tb 0.500 0.500 0.500

Properties
calculated formation energy: 0.890 eV/atom
symmetry: F-43m, No. 216
electronic total energy: -9.619 eV per atom
offset from the most stable computed form: 0 meV per atom

A geometry-optimized NaRe structure. Source: the Open Quantum Materials Database, functional PBE-GGA.

abc: 4.716 4.716 4.611
angles: 90.00 90.00 120.00
Sites, in units of the cell vectors:
Re 0.000 0.000 0.500
Na 0.333 0.667 0.250
Na 0.667 0.333 0.750
Re 0.000 0.000 0.000

Properties
symmetry: P6_3/mmc, No. 194
electronic total energy: -5.026 eV per atom
offset from the most stable computed form: 1025 meV per atom

A geometry-optimized YAgF3 structure. Source: the Open Quantum Materials Database, functional PBE-GGA.

abc: 6.992 6.992 6.992
angles: 47.05 47.05 47.05
Sites, in units of the cell vectors:
F 0.643 0.320 0.880
Y 0.299 0.299 0.299
Ag 0.142 0.142 0.142
Ag 0.858 0.858 0.858
F 0.357 0.680 0.120
F 0.320 0.880 0.643
F 0.680 0.120 0.357
F 0.880 0.643 0.320
Y 0.701 0.701 0.701
F 0.120 0.357 0.680

Properties
symmetry: R-3, No. 148
electronic total energy: -5.744 eV per atom
offset from the most stable computed form: 0 meV per atom

A geometry-optimized PrErAg2Sn2 structure. Source: the Open Quantum Materials Database, functional PBE-GGA.

abc: 4.761 4.761 7.482
angles: 90.00 90.00 120.00
Sites, in units of the cell vectors:
Sn 0.333 0.667 0.529
Ag 0.667 0.333 0.441
Sn 0.667 0.333 0.043
Ag 0.333 0.667 0.971
Er 0.000 0.000 0.259
Pr 0.000 0.000 0.757

Properties
symmetry: P3m1, No. 156
electronic total energy: -4.433 eV per atom

A geometry-optimized DyZr structure. Source: the Open Quantum Materials Database, functional PBE-GGA.

abc: 6.853 6.853 5.319
angles: 90.00 90.00 120.00
Sites, in units of the cell vectors:
Dy 0.829 0.171 0.500
Dy 0.000 0.000 0.000
Dy 0.829 0.659 0.500
Zr 0.487 0.973 0.000
Dy 0.341 0.171 0.500
Zr 0.027 0.513 0.000
Zr 0.487 0.514 0.000
Zr 0.333 0.667 0.500

Properties
calculated formation energy: 0.079 eV/atom
symmetry: P-6m2, No. 187
electronic total energy: -6.495 eV per atom